## KV2Fe (PBE)

Data for a relaxed KV2Fe crystal.

abc: 4.663 4.663 4.663
angles: 60.00 60.00 60.00
Fractional coordinates of all 4 atoms:
K1 0.000 0.000 0.000
V1 0.250 0.250 0.250
V2 0.750 0.750 0.750
Fe1 0.500 0.500 0.500

Calculated values
- V (Å³/cell) = 72
- VASP energy (eV/atom) = -5.5451
- E_form (eV/f.u.) = 5.62
- symmetry = No. 225
- energy relative to the lowest polymorph listed for this composition (meV per atom) = 0

***

## KV3Fe (PBE)

Data for a relaxed KV3Fe crystal.

abc: 4.646 4.646 4.646
angles: 90.00 90.00 90.00
Fractional coordinates of all 5 atoms:
K1 0.000 0.000 0.000
V1 0.000 0.500 0.500
V2 0.500 0.000 0.500
V3 0.500 0.500 0.000
Fe1 0.500 0.500 0.500

Calculated values
- V (Å³/cell) = 100
- VASP energy (eV/atom) = -6.2867
- E_form (eV/f.u.) = 5.48
- symmetry = No. 221
- energy relative to the lowest polymorph listed for this composition (meV per atom) = 0

***

## KFe2W (PBE)

Data for a relaxed KFe2W crystal.

abc: 5.895 5.895 5.895
angles: 154.20 128.36 58.61
Fractional coordinates of all 4 atoms:
K1 0.000 0.000 0.000
Fe1 0.522 0.522 0.000
Fe2 0.716 0.216 0.500
W1 0.300 0.800 0.500

Calculated values
- V (Å³/cell) = 69
- VASP energy (eV/atom) = -6.5634
- E_form (eV/f.u.) = 4.72
- symmetry = No. 44
- energy relative to the lowest polymorph listed for this composition (meV per atom) = 456

***

## KFe2W (PBE)

Data for a relaxed KFe2W crystal.

abc: 4.423 4.423 4.423
angles: 60.00 60.00 60.00
Fractional coordinates of all 4 atoms:
K1 0.000 0.000 0.000
Fe1 0.250 0.250 0.250
Fe2 0.750 0.750 0.750
W1 0.500 0.500 0.500

Calculated values
- V (Å³/cell) = 61
- VASP energy (eV/atom) = -6.1348
- E_form (eV/f.u.) = 6.44
- symmetry = No. 225
- energy relative to the lowest polymorph listed for this composition (meV per atom) = 885

***

## KFeW2 (PBE)

Data for a relaxed KFeW2 crystal.

abc: 2.698 4.247 7.712
angles: 90.00 94.80 90.00
Fractional coordinates of all 4 atoms:
K1 0.000 0.000 0.000
Fe1 0.158 0.500 0.658
W1 0.509 0.000 0.525
W2 0.812 0.500 0.361

Calculated values
- V (Å³/cell) = 88
- VASP energy (eV/atom) = -7.9343
- E_form (eV/f.u.) = 3.73
- symmetry = No. 6
- energy relative to the lowest polymorph listed for this composition (meV per atom) = 119

***

## KFeW2 (PBE)

Data for a relaxed KFeW2 crystal.

abc: 10.561 10.561 10.561
angles: 15.37 15.37 15.37
Fractional coordinates of all 4 atoms:
K1 0.000 0.000 0.000
Fe1 0.500 0.500 0.500
W1 0.232 0.232 0.232
W2 0.768 0.768 0.768

Calculated values
- V (Å³/cell) = 72
- VASP energy (eV/atom) = -7.8906
- E_form (eV/f.u.) = 3.90
- symmetry = No. 166
- energy relative to the lowest polymorph listed for this composition (meV per atom) = 162

***

## KFeW2 (PBE)

Data for a relaxed KFeW2 crystal.

abc: 5.920 5.920 2.635
angles: 97.99 97.99 124.96
Fractional coordinates of all 4 atoms:
K1 0.000 0.000 0.000
Fe1 0.500 0.500 0.000
W1 0.000 0.500 0.500
W2 0.500 0.000 0.500

Calculated values
- V (Å³/cell) = 72
- VASP energy (eV/atom) = -7.3679
- E_form (eV/f.u.) = 5.99
- symmetry = No. 12
- energy relative to the lowest polymorph listed for this composition (meV per atom) = 685

***

## KFeW2 (PBE)

Data for a relaxed KFeW2 crystal.

abc: 2.778 3.942 7.978
angles: 90.00 90.00 90.00
Fractional coordinates of all 4 atoms:
K1 0.000 0.000 0.000
Fe1 0.500 0.500 0.658
W1 0.000 0.000 0.540
W2 0.500 0.500 0.365

Calculated values
- V (Å³/cell) = 87
- VASP energy (eV/atom) = -7.9145
- E_form (eV/f.u.) = 3.81
- symmetry = No. 25
- energy relative to the lowest polymorph listed for this composition (meV per atom) = 138

***

## KFeW2 (PBE)

Data for a relaxed KFeW2 crystal.

abc: 2.701 3.654 8.457
angles: 90.00 90.00 90.00
Fractional coordinates of all 4 atoms:
K1 0.000 0.000 0.000
Fe1 0.000 0.000 0.500
W1 0.500 0.500 0.353
W2 0.500 0.500 0.647

Calculated values
- V (Å³/cell) = 83
- VASP energy (eV/atom) = -7.9069
- E_form (eV/f.u.) = 3.84
- symmetry = No. 47
- energy relative to the lowest polymorph listed for this composition (meV per atom) = 146

***

## KFeW2 (PBE)

Data for a relaxed KFeW2 crystal.

abc: 8.790 8.790 8.790
angles: 146.34 146.34 48.34
Fractional coordinates of all 8 atoms:
K1 0.000 0.000 0.000
K2 0.750 0.250 0.500
Fe1 0.250 0.750 0.500
Fe2 0.500 0.500 0.000
W1 0.366 0.625 0.241
W2 0.375 0.616 0.741
W3 0.384 0.125 0.759
W4 0.875 0.634 0.259

Calculated values
- V (Å³/cell) = 208
- VASP energy (eV/atom) = -6.9020
- E_form (eV/f.u.) = 7.86
- symmetry = No. 122
- energy relative to the lowest polymorph listed for this composition (meV per atom) = 1151

***

## KFe2W (PBE)

Data for a relaxed KFe2W crystal.

abc: 5.995 5.995 5.995
angles: 153.31 121.91 65.03
Fractional coordinates of all 4 atoms:
K1 0.000 0.000 0.000
Fe1 0.299 0.799 0.500
Fe2 0.701 0.201 0.500
W1 0.500 0.500 0.000

Calculated values
- V (Å³/cell) = 81
- VASP energy (eV/atom) = -6.2993
- E_form (eV/f.u.) = 5.78
- symmetry = No. 71
- energy relative to the lowest polymorph listed for this composition (meV per atom) = 721

***

## KFeW3 (PBE)

Data for a relaxed KFeW3 crystal.

abc: 4.637 4.637 4.637
angles: 90.00 90.00 90.00
Fractional coordinates of all 5 atoms:
K1 0.000 0.000 0.000
Fe1 0.500 0.500 0.500
W1 0.000 0.500 0.500
W2 0.500 0.000 0.500
W3 0.500 0.500 0.000

Calculated values
- V (Å³/cell) = 100
- VASP energy (eV/atom) = -7.8331
- E_form (eV/f.u.) = 9.25
- symmetry = No. 221
- energy relative to the lowest polymorph listed for this composition (meV per atom) = 0

***

## KFe2W (PBE)

Data for a relaxed KFe2W crystal.

abc: 2.731 2.731 9.846
angles: 90.00 90.00 109.08
Fractional coordinates of all 4 atoms:
K1 0.000 0.000 0.000
Fe1 0.500 0.500 0.297
Fe2 0.500 0.500 0.703
W1 0.000 0.000 0.500

Calculated values
- V (Å³/cell) = 69
- VASP energy (eV/atom) = -6.9190
- E_form (eV/f.u.) = 3.30
- symmetry = No. 65
- energy relative to the lowest polymorph listed for this composition (meV per atom) = 101

***

## KFeW2 (PBE)

Data for a relaxed KFeW2 crystal.

abc: 2.769 2.769 10.268
angles: 90.00 90.00 110.00
Fractional coordinates of all 4 atoms:
K1 0.000 0.000 0.000
Fe1 0.500 0.500 0.714
W1 0.000 0.000 0.521
W2 0.500 0.500 0.306

Calculated values
- V (Å³/cell) = 74
- VASP energy (eV/atom) = -8.0528
- E_form (eV/f.u.) = 3.26
- symmetry = No. 35
- energy relative to the lowest polymorph listed for this composition (meV per atom) = 0

***

## KFe2W (PBE)

Data for a relaxed KFe2W crystal.

abc: 4.482 4.482 4.482
angles: 60.00 60.00 60.00
Fractional coordinates of all 4 atoms:
K1 0.000 0.000 0.000
Fe1 0.250 0.250 0.250
Fe2 0.500 0.500 0.500
W1 0.750 0.750 0.750

Calculated values
- V (Å³/cell) = 64
- VASP energy (eV/atom) = -6.0851
- E_form (eV/f.u.) = 6.64
- symmetry = No. 216
- energy relative to the lowest polymorph listed for this composition (meV per atom) = 935

***

## KFeW2 (PBE)

Data for a relaxed KFeW2 crystal.

abc: 5.818 5.818 2.620
angles: 90.00 90.00 124.63
Fractional coordinates of all 4 atoms:
K1 0.000 0.000 0.000
Fe1 0.500 0.500 0.000
W1 0.000 0.500 0.500
W2 0.500 0.000 0.500

Calculated values
- V (Å³/cell) = 73
- VASP energy (eV/atom) = -7.2931
- E_form (eV/f.u.) = 6.29
- symmetry = No. 65
- energy relative to the lowest polymorph listed for this composition (meV per atom) = 760

***

## KFeW2 (PBE)

Data for a relaxed KFeW2 crystal.

abc: 2.709 2.709 10.499
angles: 90.00 90.00 111.12
Fractional coordinates of all 4 atoms:
K1 0.000 0.000 0.000
Fe1 0.000 0.000 0.500
W1 0.500 0.500 0.301
W2 0.500 0.500 0.699

Calculated values
- V (Å³/cell) = 72
- VASP energy (eV/atom) = -7.9584
- E_form (eV/f.u.) = 3.63
- symmetry = No. 65
- energy relative to the lowest polymorph listed for this composition (meV per atom) = 94

***

## K4FeW (PBE)

Data for a relaxed K4FeW crystal.

abc: 7.037 7.037 7.037
angles: 60.00 60.00 60.00
Fractional coordinates of all 6 atoms:
K1 0.124 0.124 0.124
K2 0.124 0.124 0.627
K3 0.124 0.627 0.124
K4 0.627 0.124 0.124
Fe1 0.500 0.500 0.500
W1 0.750 0.750 0.750

Calculated values
- V (Å³/cell) = 246
- VASP energy (eV/atom) = -2.5506
- E_form (eV/f.u.) = 10.50
- symmetry = No. 216

***

## KFe2W (PBE)

Data for a relaxed KFe2W crystal.

abc: 2.702 2.702 9.995
angles: 90.00 90.00 110.53
Fractional coordinates of all 4 atoms:
K1 0.000 0.000 0.000
Fe1 0.000 0.000 0.522
Fe2 0.500 0.500 0.706
W1 0.500 0.500 0.317

Calculated values
- V (Å³/cell) = 68
- VASP energy (eV/atom) = -6.9118
- E_form (eV/f.u.) = 3.33
- symmetry = No. 35
- energy relative to the lowest polymorph listed for this composition (meV per atom) = 108

***

## KFeW2 (PBE)

Data for a relaxed KFeW2 crystal.

abc: 10.381 10.381 10.381
angles: 16.03 16.03 16.03
Fractional coordinates of all 4 atoms:
K1 0.000 0.000 0.000
Fe1 0.238 0.238 0.238
W1 0.512 0.512 0.512
W2 0.769 0.769 0.769

Calculated values
- V (Å³/cell) = 74
- VASP energy (eV/atom) = -7.8984
- E_form (eV/f.u.) = 3.87
- symmetry = No. 160
- energy relative to the lowest polymorph listed for this composition (meV per atom) = 154

***

## KFe2W (PBE)

Data for a relaxed KFe2W crystal.

abc: 5.986 5.986 5.986
angles: 105.89 105.89 116.90
Fractional coordinates of all 8 atoms:
K1 0.000 0.000 0.000
K2 0.750 0.250 0.500
Fe1 0.193 0.125 0.568
Fe2 0.375 0.807 0.932
Fe3 0.557 0.625 0.432
Fe4 0.875 0.443 0.068
W1 0.250 0.750 0.500
W2 0.500 0.500 0.000

Calculated values
- V (Å³/cell) = 163
- VASP energy (eV/atom) = -6.1464
- E_form (eV/f.u.) = 6.39
- symmetry = No. 122
- energy relative to the lowest polymorph listed for this composition (meV per atom) = 873

***

## KFe3W (PBE)

Data for a relaxed KFe3W crystal.

abc: 4.731 4.731 4.731
angles: 90.00 90.00 90.00
Fractional coordinates of all 5 atoms:
K1 0.000 0.000 0.000
Fe1 0.000 0.500 0.500
Fe2 0.500 0.000 0.500
Fe3 0.500 0.500 0.000
W1 0.500 0.500 0.500

Calculated values
- V (Å³/cell) = 106
- VASP energy (eV/atom) = -6.4428
- E_form (eV/f.u.) = 7.22
- symmetry = No. 221
- energy relative to the lowest polymorph listed for this composition (meV per atom) = 0

***

## KFe2W (PBE)

Data for a relaxed KFe2W crystal.

abc: 2.622 4.855 5.469
angles: 90.00 90.00 90.00
Fractional coordinates of all 4 atoms:
K1 0.000 0.000 0.000
Fe1 0.000 0.500 0.500
Fe2 0.500 0.500 0.000
W1 0.500 0.000 0.500

Calculated values
- V (Å³/cell) = 70
- VASP energy (eV/atom) = -6.0604
- E_form (eV/f.u.) = 6.73
- symmetry = No. 47
- energy relative to the lowest polymorph listed for this composition (meV per atom) = 959

***

## KFeW2 (PBE)

Data for a relaxed KFeW2 crystal.

abc: 4.642 4.642 7.417
angles: 93.71 93.71 35.51
Fractional coordinates of all 4 atoms:
K1 0.000 0.000 0.000
Fe1 0.762 0.762 0.369
W1 0.229 0.229 0.632
W2 0.489 0.489 0.473

Calculated values
- V (Å³/cell) = 93
- VASP energy (eV/atom) = -7.7609
- E_form (eV/f.u.) = 4.42
- symmetry = No. 8
- energy relative to the lowest polymorph listed for this composition (meV per atom) = 292

***

## KFe2W (PBE)

Data for a relaxed KFe2W crystal.

abc: 10.109 10.109 10.109
angles: 16.11 16.11 16.11
Fractional coordinates of all 4 atoms:
K1 0.000 0.000 0.000
Fe1 0.235 0.235 0.235
Fe2 0.508 0.508 0.508
W1 0.772 0.772 0.772

Calculated values
- V (Å³/cell) = 69
- VASP energy (eV/atom) = -6.8532
- E_form (eV/f.u.) = 3.56
- symmetry = No. 160
- energy relative to the lowest polymorph listed for this composition (meV per atom) = 167

***

## KFeW2 (PBE)

Data for a relaxed KFeW2 crystal.

abc: 2.732 2.732 9.892
angles: 90.00 90.00 90.00
Fractional coordinates of all 4 atoms:
K1 0.000 0.000 0.000
Fe1 0.000 0.000 0.500
W1 0.500 0.500 0.324
W2 0.500 0.500 0.676

Calculated values
- V (Å³/cell) = 74
- VASP energy (eV/atom) = -7.9174
- E_form (eV/f.u.) = 3.80
- symmetry = No. 123
- energy relative to the lowest polymorph listed for this composition (meV per atom) = 135

***

## KFe2W (PBE)

Data for a relaxed KFe2W crystal.

abc: 3.173 3.173 7.855
angles: 90.00 90.00 90.00
Fractional coordinates of all 4 atoms:
K1 0.000 0.000 0.000
Fe1 0.500 0.500 0.349
Fe2 0.500 0.500 0.651
W1 0.000 0.000 0.500

Calculated values
- V (Å³/cell) = 79
- VASP energy (eV/atom) = -7.0199
- E_form (eV/f.u.) = 2.90
- symmetry = No. 123
- energy relative to the lowest polymorph listed for this composition (meV per atom) = 0

***

## KFeW3 (PBE)

Data for a relaxed KFeW3 crystal.

abc: 4.428 4.428 4.428
angles: 90.00 90.00 90.00
Fractional coordinates of all 5 atoms:
K1 0.000 0.000 0.000
Fe1 0.500 0.500 0.500
W1 0.000 0.000 0.500
W2 0.000 0.500 0.000
W3 0.500 0.000 0.000

Calculated values
- V (Å³/cell) = 87
- VASP energy (eV/atom) = -5.7698
- E_form (eV/f.u.) = 19.57
- symmetry = No. 221
- energy relative to the lowest polymorph listed for this composition (meV per atom) = 2063

***

## KFeW2 (PBE)

Data for a relaxed KFeW2 crystal.

abc: 2.866 2.866 9.315
angles: 90.00 90.00 90.00
Fractional coordinates of all 4 atoms:
K1 0.000 0.000 0.000
Fe1 0.500 0.500 0.707
W1 0.000 0.000 0.560
W2 0.500 0.500 0.338

Calculated values
- V (Å³/cell) = 77
- VASP energy (eV/atom) = -7.9204
- E_form (eV/f.u.) = 3.78
- symmetry = No. 99
- energy relative to the lowest polymorph listed for this composition (meV per atom) = 132

***

## KFeW2 (PBE)

Data for a relaxed KFeW2 crystal.

abc: 3.817 3.817 5.092
angles: 90.00 90.00 90.00
Fractional coordinates of all 4 atoms:
K1 0.000 0.000 0.000
Fe1 0.500 0.500 0.000
W1 0.000 0.500 0.500
W2 0.500 0.000 0.500

Calculated values
- V (Å³/cell) = 74
- VASP energy (eV/atom) = -7.0597
- E_form (eV/f.u.) = 7.23
- symmetry = No. 123
- energy relative to the lowest polymorph listed for this composition (meV per atom) = 993